(1)
LiY2GaF after structural relaxation, computed with GGA-PBE.

Total magnetization = 0.000 μB per cell
Uncorrected formation energy = -1.256 eV per atom

Geometry as CIF:
```
data_LiY2GaF
_chemical_formula_sum 'Li1 Y2 Ga1 F1'
_symmetry_space_group_name_H-M 'P 4/m m m'
_symmetry_Int_Tables_number 123
_symmetry_space_group_name_Hall '-P 4 2'
_cell_length_a 4.973
_cell_length_b 4.973
_cell_length_c 3.812
_cell_angle_alpha 90.00
_cell_angle_beta 90.00
_cell_angle_gamma 90.00
loop_
_atom_site_label
_atom_site_type_symbol
_atom_site_fract_x
_atom_site_fract_y
_atom_site_fract_z
Li1 Li 0.000 0.000 0.000
Y1 Y 0.000 0.500 0.500
Ga1 Ga 0.500 0.500 0.000
F1 F 0.000 0.000 0.500
```


(2)
Li2YGaF8 after structural relaxation, computed with GGA-PBE.

Total magnetization = 0.000 μB per cell
Uncorrected formation energy = -3.186 eV per atom

Geometry as CIF:
```
data_Li2YGaF8
_chemical_formula_sum 'Li2 Y1 Ga1 F8'
_symmetry_space_group_name_H-M 'P 1 2/m 1'
_symmetry_Int_Tables_number 10
_cell_length_a 4.739
_cell_length_b 6.596
_cell_length_c 4.740
_cell_angle_alpha 90.00
_cell_angle_beta 90.52
_cell_angle_gamma 90.00
loop_
_symmetry_equiv_pos_as_xyz
'x,y,z'
'-x,-y,-z'
'-x,y,-z'
'x,-y,z'
loop_
_atom_site_label
_atom_site_type_symbol
_atom_site_fract_x
_atom_site_fract_y
_atom_site_fract_z
Li1 Li 0.000 0.231 0.000
Y1 Y 0.500 0.500 0.500
Ga1 Ga 0.500 0.000 0.500
F1 F 0.185 0.500 0.818
F2 F 0.223 0.000 0.779
F3 F 0.303 0.224 0.305
```